Entry from Alexandria: a relaxed PmDyHg2 crystal (PBE).

a = 5.330 Å, b = 5.330 Å, c = 5.330 Å
α = 60.00°, β = 60.00°, γ = 60.00°
Fractional coordinates of all 4 atoms:
Hg (0.250, 0.250, 0.250)
Hg (0.750, 0.750, 0.750)
Pm (0.000, 0.000, 0.000)
Dy (0.500, 0.500, 0.500)

Properties
SG   Fm-3m (225)
Distance to the lowest polymorph of the same formula   6 meV/atom
ΔE_f   -0.472 eV/atom


Entry from Alexandria: a relaxed PmDyHg crystal (PBE).

a = 3.673 Å, b = 3.673 Å, c = 6.942 Å
α = 105.34°, β = 105.34°, γ = 90.00°
Fractional coordinates of all 3 atoms:
Dy (0.601, 0.601, 0.201)
Hg (0.957, 0.957, 0.913)
Pm (0.293, 0.293, 0.586)

Properties
SG   I4mm (107)
Distance to the lowest polymorph of the same formula   0 meV/atom
ΔE_f   -0.304 eV/atom


Entry from Alexandria: a relaxed PmDy3Hg4 crystal (PBE).

a = 5.266 Å, b = 7.579 Å, c = 10.531 Å
α = 90.00°, β = 90.00°, γ = 90.00°
Fractional coordinates of all 16 atoms:
Hg (0.001, 0.242, 0.750)
Hg (0.500, 0.758, 0.000)
Hg (0.500, 0.242, 0.500)
Hg (0.999, 0.758, 0.250)
Hg (0.500, 0.758, 0.500)
Hg (0.999, 0.242, 0.250)
Hg (0.001, 0.758, 0.750)
Hg (0.500, 0.242, 0.000)
Dy (0.500, 0.500, 0.250)
Dy (0.500, 0.000, 0.250)
Dy (0.000, 0.000, 0.500)
Dy (0.000, 0.000, 0.000)
Dy (0.500, 0.500, 0.750)
Dy (0.500, 0.000, 0.750)
Pm (0.000, 0.500, 0.500)
Pm (0.000, 0.500, 0.000)

Properties
SG   P4/mmm (123)
Distance to the lowest polymorph of the same formula   0 meV/atom
ΔE_f   -0.477 eV/atom


Entry from Alexandria: a relaxed PmDy2Hg crystal (PBE).

a = 4.817 Å, b = 4.851 Å, c = 4.851 Å
α = 90.00°, β = 90.00°, γ = 90.00°
Fractional coordinates of all 4 atoms:
Dy (0.000, 0.000, 0.500)
Dy (0.000, 0.500, 0.000)
Pm (0.500, 0.500, 0.500)
Hg (0.500, 0.000, 0.000)

Properties
SG   P4/mmm (123)
Distance to the lowest polymorph of the same formula   73 meV/atom
ΔE_f   -0.158 eV/atom


Entry from Alexandria: a relaxed Pm3DyHg12 crystal (PBE).

a = 4.607 Å, b = 4.607 Å, c = 19.144 Å
α = 90.00°, β = 90.00°, γ = 90.00°
Fractional coordinates of all 16 atoms:
Hg (0.500, 0.000, 0.374)
Hg (0.000, 0.500, 0.626)
Hg (0.500, 0.000, 0.122)
Hg (0.500, 0.000, 0.878)
Hg (0.000, 0.500, 0.878)
Hg (0.500, 0.500, 0.248)
Hg (0.000, 0.500, 0.122)
Hg (0.000, 0.500, 0.374)
Hg (0.500, 0.500, 0.752)
Hg (0.500, 0.000, 0.626)
Hg (0.500, 0.500, 0.000)
Hg (0.500, 0.500, 0.500)
Pm (0.000, 0.000, 0.248)
Pm (0.000, 0.000, 0.752)
Pm (0.000, 0.000, 0.500)
Dy (0.000, 0.000, 0.000)

Properties
SG   P4/mmm (123)
ΔE_f   -0.338 eV/atom


Entry from Alexandria: a relaxed Pm2Dy2Hg7 crystal (PBE).

a = 6.827 Å, b = 7.453 Å, c = 6.827 Å
α = 90.00°, β = 102.86°, γ = 90.00°
Fractional coordinates of all 11 atoms:
Hg (0.500, 0.297, 0.000)
Hg (0.500, 0.703, 0.000)
Hg (0.500, 0.292, 0.500)
Hg (0.000, 0.703, 0.500)
Hg (0.500, 0.708, 0.500)
Hg (0.000, 0.297, 0.500)
Hg (0.000, 0.000, 0.000)
Pm (0.298, 0.000, 0.702)
Pm (0.702, 0.000, 0.298)
Dy (0.198, 0.500, 0.198)
Dy (0.802, 0.500, 0.802)

Properties
SG   Cmmm (65)
ΔE_f   -0.091 eV/atom


- Which formula does entry 4 have?
  PmDy2Hg


- The highest ΔE_f belongs to which entry?
  Pm2Dy2Hg7


- Which formula does entry 3 have?
  PmDy3Hg4


- Among the records above, which one has the highest ΔE_f?
  Pm2Dy2Hg7